Record 1
Here is crystalline Sc2BAu at its relaxed geometry from the Alexandria database. Energies are from GGA-PBE.

Output
Final energy (eV/atom): -5.7144
Calculated volume (Å³ per atom): 19.1
Calculated formation energy (kJ per mole of atoms): -5.79

CIF file:
```
data_Sc2BAu
_cell_length_a 6.8355
_cell_length_b 6.8355
_cell_length_c 6.5307
_cell_angle_alpha 90.00
_cell_angle_beta 90.00
_cell_angle_gamma 90.00
_symmetry_space_group_name_H-M 'I -4 2 d'
_symmetry_Int_Tables_number 122
_symmetry_space_group_name_Hall 'I -4 2bw'
loop_
_atom_site_label
_atom_site_type_symbol
_atom_site_fract_x
_atom_site_fract_y
_atom_site_fract_z
Sc1 Sc 0.1896 0.7500 0.1250
B1 B 0.0000 0.0000 0.0000
Au1 Au 0.0000 0.0000 0.5000
```

---

Record 2
Here is crystalline Sc2BAu at its relaxed geometry from the Alexandria database. Energies are from GGA-PBE.

Output
Final energy (eV/atom): -5.0274
Calculated volume (Å³ per atom): 22.9
Calculated formation energy (kJ per mole of atoms): 60.50

CIF file:
```
data_Sc2BAu
_cell_length_a 3.5073
_cell_length_b 3.5073
_cell_length_c 25.7605
_cell_angle_alpha 90.00
_cell_angle_beta 90.00
_cell_angle_gamma 120.00
_symmetry_space_group_name_H-M 'R -3 m'
_symmetry_Int_Tables_number 166
_symmetry_space_group_name_Hall '-R 3 2"'
loop_
_atom_site_label
_atom_site_type_symbol
_atom_site_fract_x
_atom_site_fract_y
_atom_site_fract_z
Sc1 Sc 0.0000 0.0000 0.0914
B1 B 0.0000 0.0000 0.0000
Au1 Au 0.0000 0.0000 0.5000
```

---

Record 3
Here is crystalline Sc3BAu at its relaxed geometry from the Alexandria database. Energies are from GGA-PBE.

Output
Offset from the most stable computed form (meV/atom): 0
Final energy (eV/atom): -6.1294
Calculated volume (Å³ per atom): 19.8
Calculated formation energy (kJ per mole of atoms): -32.76

CIF file:
```
data_Sc3BAu
_cell_length_a 4.6245
_cell_length_b 4.6245
_cell_length_c 4.6245
_cell_angle_alpha 90.00
_cell_angle_beta 90.00
_cell_angle_gamma 90.00
_symmetry_space_group_name_H-M 'P m -3 m'
_symmetry_Int_Tables_number 221
_symmetry_space_group_name_Hall '-P 4 2 3'
loop_
_atom_site_label
_atom_site_type_symbol
_atom_site_fract_x
_atom_site_fract_y
_atom_site_fract_z
Sc1 Sc 0.0000 0.0000 0.5000
B1 B 0.0000 0.0000 0.0000
Au1 Au 0.5000 0.5000 0.5000
```

---

Record 4
Here is crystalline ScB2Au at its relaxed geometry from the Alexandria database. Energies are from GGA-PBE.

Output
Offset from the most stable computed form (meV/atom): 0
Final energy (eV/atom): -5.5090
Calculated volume (Å³ per atom): 14.6
Calculated formation energy (kJ per mole of atoms): 22.37

CIF file:
```
data_ScB2Au
_cell_length_a 3.9464
_cell_length_b 3.9464
_cell_length_c 15.0335
_cell_angle_alpha 90.00
_cell_angle_beta 90.00
_cell_angle_gamma 90.00
_symmetry_space_group_name_H-M 'I 41/a m d'
_symmetry_Int_Tables_number 141
loop_
_symmetry_equiv_pos_as_xyz
'x,y,z'
'-x,-y,-z'
'-y+1/4,x+3/4,z+1/4'
'y+1/4,-x+3/4,-z+1/4'
'-x+1/2,-y,z+1/2'
'x+1/2,y,-z+1/2'
'y+1/4,-x+1/4,z+3/4'
'-y+1/4,x+1/4,-z+3/4'
'x,-y,-z'
'-x,y,z'
'-y+1/4,-x+1/4,-z+3/4'
'y+1/4,x+1/4,z+3/4'
'-x+1/2,y,-z+1/2'
'x+1/2,-y,z+1/2'
'y+1/4,x+3/4,-z+1/4'
'-y+1/4,-x+3/4,z+1/4'
'x+1/2,y+1/2,z+1/2'
'-x+1/2,-y+1/2,-z+1/2'
'-y+3/4,x+1/4,z+3/4'
'y+3/4,-x+1/4,-z+3/4'
'-x,-y+1/2,z'
'x,y+1/2,-z'
'y+3/4,-x+3/4,z+1/4'
'-y+3/4,x+3/4,-z+1/4'
'x+1/2,-y+1/2,-z+1/2'
'-x+1/2,y+1/2,z+1/2'
'-y+3/4,-x+3/4,-z+1/4'
'y+3/4,x+3/4,z+1/4'
'-x,y+1/2,-z'
'x,-y+1/2,z'
'y+3/4,x+1/4,-z+3/4'
'-y+3/4,-x+1/4,z+3/4'
loop_
_atom_site_label
_atom_site_type_symbol
_atom_site_fract_x
_atom_site_fract_y
_atom_site_fract_z
Sc1 Sc 0.0000 0.2500 0.3750
B1 B 0.0000 0.0000 0.0000
Au1 Au 0.0000 0.2500 0.8750
```

---

Record 5
Here is crystalline Sc2BAu at its relaxed geometry from the Alexandria database. Energies are from GGA-PBE.

Output
Final energy (eV/atom): -5.6770
Calculated volume (Å³ per atom): 21.8
Calculated formation energy (kJ per mole of atoms): -2.17

CIF file:
```
data_Sc2BAu
_cell_length_a 3.5776
_cell_length_b 3.5776
_cell_length_c 23.6361
_cell_angle_alpha 90.00
_cell_angle_beta 90.00
_cell_angle_gamma 120.00
_symmetry_space_group_name_H-M 'R -3 m'
_symmetry_Int_Tables_number 166
_symmetry_space_group_name_Hall '-R 3 2"'
loop_
_atom_site_label
_atom_site_type_symbol
_atom_site_fract_x
_atom_site_fract_y
_atom_site_fract_z
Sc1 Sc 0.0000 0.0000 0.1162
B1 B 0.0000 0.0000 0.5000
Au1 Au 0.0000 0.0000 0.0000
```

---

Record 6
Here is crystalline ScB2Au at its relaxed geometry from the Alexandria database. Energies are from GGA-PBE.

Output
Offset from the most stable computed form (meV/atom): 247
Final energy (eV/atom): -5.2617
Calculated volume (Å³ per atom): 12.6
Calculated formation energy (kJ per mole of atoms): 46.24

CIF file:
```
data_ScB2Au
_cell_length_a 5.8690
_cell_length_b 5.8690
_cell_length_c 5.8690
_cell_angle_alpha 90.00
_cell_angle_beta 90.00
_cell_angle_gamma 90.00
_symmetry_space_group_name_H-M 'F m -3 m'
_symmetry_Int_Tables_number 225
_symmetry_space_group_name_Hall '-F 4 2 3'
loop_
_atom_site_label
_atom_site_type_symbol
_atom_site_fract_x
_atom_site_fract_y
_atom_site_fract_z
Sc1 Sc 0.0000 0.0000 0.0000
B1 B 0.2500 0.2500 0.2500
Au1 Au 0.0000 0.0000 0.5000
```

---

- The lowest final energy belongs to which entry?
  Sc3BAu

---

- Number 3 is which compound?
  Sc3BAu